Here is a relaxed structure of Mg8Tl2Cd3 from the Alexandria database. Energies are from GGA-PBE.

```
Mg8Tl2Cd3
1.0
6.6713 -4.0208 0.0000
6.6713 4.0208 0.0000
-0.7387 0.0000 5.9567
Mg Tl Cd
8 2 3
Direct
0.0720 0.7007 0.0786
0.0954 0.0954 0.4017
0.2993 0.9280 0.9214
0.3060 0.3060 0.7141
0.6940 0.6940 0.2859
0.7007 0.0720 0.0786
0.9046 0.9046 0.5983
0.9280 0.2993 0.9214
0.2880 0.2880 0.2215
0.7120 0.7120 0.7785
0.3197 0.6803 0.5000
0.5000 0.5000 0.0000
0.6803 0.3197 0.5000
```

Output
Energy = -19.8 eV per cell
Formation energy from the elements = 0.034 eV/atom
Total magnetization = 0.000 μB per cell
N(E_F) = 0.40 states/eV per atom
Calculated density = 4.89 Mg/m³
Relative energy among the computed polymorphs = 40.1 meV per atom

Here is a relaxed structure of HfFeTcSb2 from the Alexandria database. Energies are from GGA-PBE.

```
HfFeTcSb2
1.0
5.0263 0.0000 0.0000
0.0000 5.0263 0.0000
0.0000 0.0000 4.9220
Hf Fe Tc Sb
1 1 1 2
Direct
0.0000 0.0000 0.0000
0.5000 0.5000 0.0000
0.0000 0.0000 0.5000
0.0000 0.5000 0.5000
0.5000 0.0000 0.5000
```

Output
Energy = -31.4 eV per cell
Total magnetization = 0.001 μB per cell
N(E_F) = 1.65 states/eV per atom
Uncorrected formation energy = 1125 meV/atom
Calculated density = 7.69 Mg/m³

Here is a relaxed structure of Mg2ScCu from the Alexandria database. Energies are from GGA-PBE.

```
Mg2ScCu
1.0
-1.5898 2.4421 5.0691
1.5898 -2.4421 5.0691
1.5898 2.4421 -5.0691
Mg Sc Cu
2 1 1
Direct
0.2132 0.2132 0.0000
0.7868 0.7868 0.0000
0.5000 0.0000 0.5000
0.0000 0.5000 0.5000
```

Output
Energy = -13.9 eV per cell
Formation energy from the elements = -0.059 eV/atom
Total magnetization = 0.000 μB per cell
N(E_F) = 0.62 states/eV per atom
Calculated density = 3.31 Mg/m³

Here is a relaxed structure of RbCrTc3 from the Alexandria database. Energies are from GGA-PBE.

```
RbCrTc3
1.0
4.6651 0.0000 0.0000
0.0000 4.6651 0.0000
0.0000 0.0000 4.6651
Rb Cr Tc
1 1 3
Direct
0.0000 0.0000 0.0000
0.5000 0.5000 0.5000
0.0000 0.5000 0.5000
0.5000 0.0000 0.5000
0.5000 0.5000 0.0000
```

Output
Energy = -33.7 eV per cell
Formation energy from the elements = 1.592 eV/atom
Total magnetization = 3.232 μB per cell
N(E_F) = 0.98 states/eV per atom
Calculated density = 7.06 Mg/m³
Relative energy among the computed polymorphs = 0.0 meV per atom

Here is a relaxed structure of TaMoOs2 from the Alexandria database. Energies are from GGA-PBE.

```
TaMoOs2
1.0
2.7861 0.0000 0.0000
0.0000 4.4127 0.0000
-1.1124 0.0000 5.1315
Ta Mo Os
1 1 2
Direct
0.0000 0.0000 0.0000
0.8277 0.5000 0.2828
0.2373 0.5000 0.7894
0.5431 0.0000 0.4871
```

Output
Energy = -44.8 eV per cell
Formation energy from the elements = 0.074 eV/atom
Total magnetization = 0.000 μB per cell
N(E_F) = 0.83 states/eV per atom
Calculated density = 17.30 Mg/m³
Relative energy among the computed polymorphs = 106.4 meV per atom

Here is a relaxed structure of Ti2MoHPd from the Alexandria database. Energies are from GGA-PBE.

```
Ti2MoHPd
1.0
4.3534 0.0000 0.0000
0.0000 4.3534 0.0000
0.0000 0.0000 3.4772
Ti Mo H Pd
2 1 1 1
Direct
0.0000 0.5000 0.0000
0.5000 0.0000 0.0000
0.0000 0.0000 0.5000
0.0000 0.0000 0.0000
0.5000 0.5000 0.5000
```

Output
Energy = -36.7 eV per cell
Total magnetization = 0.000 μB per cell
N(E_F) = 0.81 states/eV per atom
Calculated density = 7.54 Mg/m³
Relative energy among the computed polymorphs = 0.0 meV per atom

Here is a relaxed structure of Ti2GeP from the Alexandria database. Energies are from GGA-PBE.

```
Ti2GeP
1.0
-1.6216 1.6336 6.3405
1.6216 -1.6336 6.3405
1.6216 1.6336 -6.3405
Ti Ge P
2 1 1
Direct
0.0000 0.0000 0.0000
0.7818 0.2818 0.5000
0.1663 0.6663 0.5000
0.4246 0.4246 0.0000
```

Output
Energy = -28.5 eV per cell
Formation energy from the elements = -0.669 eV/atom
Total magnetization = 0.002 μB per cell
N(E_F) = 1.00 states/eV per atom
Calculated density = 4.93 Mg/m³
Relative energy among the computed polymorphs = 126.9 meV per atom

Here is a relaxed structure of Tl2RhBr5 from the Alexandria database. Energies are from GGA-PBE.

```
Tl2RhBr5
1.0
-3.8505 3.8505 4.5891
3.8505 -3.8505 4.5891
3.8505 3.8505 -4.5891
Tl Rh Br
2 1 5
Direct
0.0000 0.5000 0.5000
0.5000 0.0000 0.5000
0.2467 0.2467 0.0000
0.0348 0.0348 0.5444
0.0348 0.4904 0.0000
0.4904 0.0348 0.0000
0.4904 0.4904 0.4556
0.9870 0.9870 0.0000
```

Output
Energy = -24.9 eV per cell
Total magnetization = 0.000 μB per cell
Uncorrected formation energy = -551 meV/atom
Calculated density = 5.56 Mg/m³
Relative energy among the computed polymorphs = 0.0 meV per atom

Here is a relaxed structure of NdDy2Mg from the Alexandria database. Energies are from GGA-PBE.

```
NdDy2Mg
1.0
1.7822 1.0290 11.1974
-1.7822 1.0290 11.1974
0.0000 -2.0579 11.1974
Nd Dy Mg
1 2 1
Direct
0.0000 0.0000 0.0000
0.2457 0.2457 0.2457
0.7543 0.7543 0.7543
0.5000 0.5000 0.5000
```

Output
Energy = -15.5 eV per cell
Formation energy from the elements = 0.015 eV/atom
Total magnetization = 0.000 μB per cell
N(E_F) = 1.04 states/eV per atom
Calculated density = 6.65 Mg/m³
Relative energy among the computed polymorphs = 45.2 meV per atom

Here is a relaxed structure of Ca2SmZn from the Alexandria database. Energies are from GGA-PBE.

```
Ca2SmZn
1.0
1.8785 1.0845 10.6340
-1.8785 1.0845 10.6340
0.0000 -2.1691 10.6340
Ca Sm Zn
2 1 1
Direct
0.0000 0.0000 0.0000
0.1932 0.1932 0.1932
0.4308 0.4308 0.4308
0.5960 0.5960 0.5960
```

Output
Energy = -9.9 eV per cell
Formation energy from the elements = 0.020 eV/atom
Total magnetization = 0.000 μB per cell
N(E_F) = 1.06 states/eV per atom
Calculated density = 3.78 Mg/m³
Relative energy among the computed polymorphs = 62.6 meV per atom

Here is a relaxed structure of Tb7ThIn4 from the Alexandria database. Energies are from GGA-PBE.

```
Tb7ThIn4
1.0
7.2557 -2.8905 0.0000
7.2557 2.8905 0.0000
-5.6055 0.0000 8.6069
Tb Th In
7 1 4
Direct
0.0000 0.0000 0.0000
0.2271 0.2271 0.6707
0.2933 0.2933 0.1182
0.4358 0.4358 0.6047
0.5642 0.5642 0.3953
0.7067 0.7067 0.8818
0.7729 0.7729 0.3293
0.5000 0.5000 0.0000
0.0555 0.0555 0.7458
0.1831 0.1831 0.3359
0.8169 0.8169 0.6641
0.9445 0.9445 0.2542
```

Output
Energy = -51.7 eV per cell
Formation energy from the elements = -0.072 eV/atom
Total magnetization = 0.000 μB per cell
N(E_F) = 1.02 states/eV per atom
Calculated density = 8.30 Mg/m³

Here is a relaxed structure of K2YTlF6 from the Alexandria database. Energies are from GGA-PBE.

```
K2YTlF6
1.0
3.2903 1.8996 5.6300
-3.2903 1.8996 5.6300
0.0000 -3.7993 5.6300
K Y Tl F
2 1 1 6
Direct
0.0000 0.0000 0.0000
0.4909 0.4909 0.4909
0.7069 0.7069 0.7069
0.2199 0.2199 0.2199
0.0401 0.4648 0.8088
0.3697 0.8895 0.6108
0.4648 0.8088 0.0401
0.6108 0.3697 0.8895
0.8088 0.0401 0.4648
0.8895 0.6108 0.3697
```

Output
Energy = -53.5 eV per cell
Total magnetization = 0.000 μB per cell
N(E_F) = 0.00 states/eV per atom
Uncorrected formation energy = -3124 meV/atom
Calculated density = 3.82 Mg/m³
Relative energy among the computed polymorphs = 0.0 meV per atom